[1]
# KRuPb2O8 | the Alexandria database | PBE-GGA | relaxed
data_KRuPb2O8
_cell_length_a 4.3672
_cell_length_b 5.6690
_cell_length_c 7.5077
_cell_angle_alpha 90.72
_cell_angle_beta 105.76
_cell_angle_gamma 96.29
_symmetry_space_group_name_H-M 'P 1'
_symmetry_Int_Tables_number 1
_symmetry_space_group_name_Hall 'P 1'
loop_
_atom_site_label
_atom_site_type_symbol
_atom_site_fract_x
_atom_site_fract_y
_atom_site_fract_z
_atom_site_occupancy
K1 K 0.0000 0.0000 0.0000 1
Ru1 Ru 0.5000 0.0000 0.5000 1
Pb1 Pb 0.3286 0.4601 0.7020 1
Pb2 Pb 0.6714 0.5399 0.2980 1
O1 O 0.1571 0.5218 0.9994 1
O2 O 0.1946 0.1665 0.3619 1
O3 O 0.2321 0.6771 0.4334 1
O4 O 0.3620 0.0542 0.7169 1
O5 O 0.6380 0.9458 0.2831 1
O6 O 0.7679 0.3229 0.5666 1
O7 O 0.8054 0.8335 0.6381 1
O8 O 0.8429 0.4782 0.0006 1
# Density, g/cm³: 6.38
# SG: P-1, No. 2
# Formation energy (no corrections), eV per atom: -0.7859
# Crystal system: triclinic
# Total magnetization, μB per formula unit: 0.363
# Total energy, eV per atom: -5.57



[2]
# KPbSO6 | the Alexandria database | PBE-GGA | relaxed
data_KPbSO6
_cell_length_a 5.2593
_cell_length_b 5.2593
_cell_length_c 5.8709
_cell_angle_alpha 90.00
_cell_angle_beta 90.00
_cell_angle_gamma 120.00
_symmetry_space_group_name_H-M 'P 1'
_symmetry_Int_Tables_number 1
_symmetry_space_group_name_Hall 'P 1'
loop_
_atom_site_label
_atom_site_type_symbol
_atom_site_fract_x
_atom_site_fract_y
_atom_site_fract_z
_atom_site_occupancy
K1 K 0.0000 0.0000 0.0000 1
Pb1 Pb 0.3333 0.6667 0.5000 1
S1 S 0.6667 0.3333 0.5000 1
O1 O 0.4142 0.0735 0.6722 1
O2 O 0.4142 0.3407 0.3278 1
O3 O 0.6593 0.0735 0.3278 1
O4 O 0.6593 0.5858 0.6722 1
O5 O 0.9265 0.3407 0.6722 1
O6 O 0.9265 0.5858 0.3278 1
# Density, g/cm³: 4.42
# SG: P312, No. 149
# Formation energy (no corrections), eV per atom: -0.8412
# Crystal system: trigonal
# Total magnetization, μB per formula unit: 1.056
# Total energy, eV per atom: -5.14